# In3PdN

In3PdN after structural relaxation (PBE-GGA, Alexandria).

Computed properties:
Energy above the most stable polymorph in this dataset, meV/atom: 0
Magnetic moment, μB per cell: 0.00
Calculated total energy, eV per atom: -3.92

Lattice parameters (Å, degrees): 4.6252 4.6252 4.6252 90.00 90.00 90.00
Atoms (fractional coordinates):
In1 0.0000 0.0000 0.5000
In2 0.5000 0.0000 0.0000
In3 0.0000 0.5000 0.0000
Pd1 0.5000 0.5000 0.5000
N1 0.0000 0.0000 0.0000

# CuPOsS

CuPOsS after structural relaxation (PBE-GGA, Alexandria).

Computed properties:
Energy above the most stable polymorph in this dataset, meV/atom: 0
Magnetic moment, μB per cell: 0.00
Calculated total energy, eV per atom: -6.29

Lattice parameters (Å, degrees): 3.5842 3.6667 6.0855 79.74 90.03 60.73
Atoms (fractional coordinates):
P1 0.3457 0.7342 0.3986
Os1 0.7017 0.0224 0.5348
S1 0.7961 0.8339 0.9204
Cu1 0.5024 0.4218 0.0857

- Which of these has the lowest calculated total energy?
  CuPOsS

What did the second record say?
# CuPOsS

CuPOsS after structural relaxation (PBE-GGA, Alexandria).

Computed properties:
Energy above the most stable polymorph in this dataset, meV/atom: 0
Magnetic moment, μB per cell: 0.00
Calculated total energy, eV per atom: -6.29

Lattice parameters (Å, degrees): 3.5842 3.6667 6.0855 79.74 90.03 60.73
Atoms (fractional coordinates):
P1 0.3457 0.7342 0.3986
Os1 0.7017 0.0224 0.5348
S1 0.7961 0.8339 0.9204
Cu1 0.5024 0.4218 0.0857